# TcAsSe2I (meta-GGA SCAN, PBEsol geometry)
data_TcAsSe2I
_chemical_formula_sum 'Tc1 As1 Se2 I1'
_cell_length_a 5.278
_cell_length_b 5.278
_cell_length_c 5.205
_cell_angle_alpha 90.00
_cell_angle_beta 90.00
_cell_angle_gamma 90.00
_space_group_name_H-M_alt 'P 4/m m m'
_space_group_IT_number 123
_space_group_name_Hall '-P 4 2'
loop_
_atom_site_label
_atom_site_type_symbol
_atom_site_fract_x
_atom_site_fract_y
_atom_site_fract_z
Tc1 Tc 0.000 0.000 0.000
As1 As 0.500 0.500 0.000
Se1 Se 0.000 0.500 0.500
I1 I 0.500 0.500 0.500
# **Uncorrected formation energy**: 7.8 eV/f.u.



# MoPt2Pb (meta-GGA SCAN, PBEsol geometry)
data_MoPt2Pb
_chemical_formula_sum 'Mo1 Pt2 Pb1'
_cell_length_a 3.760
_cell_length_b 4.116
_cell_length_c 4.342
_cell_angle_alpha 90.00
_cell_angle_beta 90.00
_cell_angle_gamma 90.00
_space_group_name_H-M_alt 'P m m m'
_space_group_IT_number 47
loop_
_space_group_symop_operation_xyz
'x,y,z'
'-x,-y,-z'
'-x,-y,z'
'x,y,-z'
'x,-y,-z'
'-x,y,z'
'-x,y,-z'
'x,-y,z'
loop_
_atom_site_label
_atom_site_type_symbol
_atom_site_fract_x
_atom_site_fract_y
_atom_site_fract_z
Mo1 Mo 0.000 0.000 0.000
Pt1 Pt 0.000 0.500 0.500
Pt2 Pt 0.500 0.000 0.500
Pb1 Pb 0.500 0.500 0.000
# **Energy of formation from the pure elements**: 0.229 eV per atom



# CsAsSe2I (meta-GGA SCAN, PBEsol geometry)
data_CsAsSe2I
_chemical_formula_sum 'Cs1 As1 Se2 I1'
_cell_length_a 5.590
_cell_length_b 5.590
_cell_length_c 7.262
_cell_angle_alpha 90.00
_cell_angle_beta 90.00
_cell_angle_gamma 90.00
_space_group_name_H-M_alt 'P 4/m m m'
_space_group_IT_number 123
_space_group_name_Hall '-P 4 2'
loop_
_atom_site_label
_atom_site_type_symbol
_atom_site_fract_x
_atom_site_fract_y
_atom_site_fract_z
Cs1 Cs 0.000 0.000 0.000
As1 As 0.000 0.000 0.500
Se1 Se 0.000 0.500 0.000
I1 I 0.500 0.500 0.500
# **Uncorrected formation energy**: 6.1 eV/f.u.



# Sc2MoPb (meta-GGA SCAN, PBEsol geometry)
data_Sc2MoPb
_chemical_formula_sum 'Sc2 Mo1 Pb1'
_cell_length_a 4.558
_cell_length_b 4.558
_cell_length_c 3.785
_cell_angle_alpha 90.00
_cell_angle_beta 90.00
_cell_angle_gamma 90.00
_space_group_name_H-M_alt 'P 4/m m m'
_space_group_IT_number 123
_space_group_name_Hall '-P 4 2'
loop_
_atom_site_label
_atom_site_type_symbol
_atom_site_fract_x
_atom_site_fract_y
_atom_site_fract_z
Sc1 Sc 0.000 0.500 0.000
Mo1 Mo 0.000 0.000 0.500
Pb1 Pb 0.500 0.500 0.500
# **Energy of formation from the pure elements**: -0.190 eV per atom



# KP2Pt (meta-GGA SCAN, PBEsol geometry)
data_KP2Pt
_chemical_formula_sum 'K1 P2 Pt1'
_cell_length_a 3.303
_cell_length_b 3.303
_cell_length_c 7.221
_cell_angle_alpha 90.00
_cell_angle_beta 90.00
_cell_angle_gamma 90.00
_space_group_name_H-M_alt 'P 4 m m'
_space_group_IT_number 99
loop_
_space_group_symop_operation_xyz
'x,y,z'
'-y,x,z'
'-x,-y,z'
'y,-x,z'
'-x,y,z'
'y,x,z'
'x,-y,z'
'-y,-x,z'
loop_
_atom_site_label
_atom_site_type_symbol
_atom_site_fract_x
_atom_site_fract_y
_atom_site_fract_z
K1 K 0.000 0.000 0.000
P1 P 0.000 0.000 0.517
P2 P 0.500 0.500 0.307
Pt1 Pt 0.500 0.500 0.633
# **Offset from the most stable computed form**: 0.000 eV per atom
# **Energy of formation from the pure elements**: 0.096 eV per atom



# Cu2ICl (meta-GGA SCAN, PBEsol geometry)
data_Cu2ICl
_chemical_formula_sum 'Cu8 I4 Cl4'
_cell_length_a 5.558
_cell_length_b 5.558
_cell_length_c 11.400
_cell_angle_alpha 90.00
_cell_angle_beta 90.00
_cell_angle_gamma 90.00
_space_group_name_H-M_alt 'I -4 2 d'
_space_group_IT_number 122
_space_group_name_Hall 'I -4 2bw'
loop_
_atom_site_label
_atom_site_type_symbol
_atom_site_fract_x
_atom_site_fract_y
_atom_site_fract_z
Cu1 Cu 0.212 0.250 0.125
I1 I 0.000 0.000 0.500
Cl1 Cl 0.000 0.000 0.000
# **Uncorrected formation energy**: -1.1 eV/f.u.



# ScTlRu (meta-GGA SCAN, PBEsol geometry)
data_ScTlRu
_chemical_formula_sum 'Sc1 Tl1 Ru1'
_cell_length_a 4.5234
_cell_length_b 4.5234
_cell_length_c 3.0912
_cell_angle_alpha 90.00
_cell_angle_beta 90.00
_cell_angle_gamma 120.00
_space_group_name_H-M_alt 'P 3 m 1'
_space_group_IT_number 156
loop_
_space_group_symop_operation_xyz
'x,y,z'
'-y,x-y,z'
'-x+y,-x,z'
'-y,-x,z'
'-x+y,y,z'
'x,x-y,z'
loop_
_atom_site_label
_atom_site_type_symbol
_atom_site_fract_x
_atom_site_fract_y
_atom_site_fract_z
Sc1 Sc 0.0000 0.0000 0.0000
Tl1 Tl 0.6667 0.3333 0.4294
Ru1 Ru 0.3333 0.6667 0.7545
# **Energy of formation from the pure elements**: -0.073 eV per atom



# UReB3 (meta-GGA SCAN, PBEsol geometry)
data_UReB3
_chemical_formula_sum 'U2 Re2 B6'
_cell_length_a 5.0386
_cell_length_b 5.0386
_cell_length_c 5.0624
_cell_angle_alpha 90.00
_cell_angle_beta 90.00
_cell_angle_gamma 120.00
_space_group_name_H-M_alt 'P 63/m m c'
_space_group_IT_number 194
_space_group_name_Hall '-P 6c 2c'
loop_
_atom_site_label
_atom_site_type_symbol
_atom_site_fract_x
_atom_site_fract_y
_atom_site_fract_z
U1 U 0.3333 0.6667 0.2500
Re1 Re 0.0000 0.0000 0.0000
B1 B 0.2192 0.4384 0.7500
# **Energy of formation from the pure elements**: -0.495 eV per atom



# Ba3As2 (meta-GGA SCAN, PBEsol geometry)
data_Ba3As2
_chemical_formula_sum 'Ba3 As2'
_cell_length_a 6.088
_cell_length_b 6.088
_cell_length_c 6.088
_cell_angle_alpha 90.00
_cell_angle_beta 90.00
_cell_angle_gamma 90.00
_space_group_name_H-M_alt 'P m -3 m'
_space_group_IT_number 221
_space_group_name_Hall '-P 4 2 3'
loop_
_atom_site_label
_atom_site_type_symbol
_atom_site_fract_x
_atom_site_fract_y
_atom_site_fract_z
Ba1 Ba 0.000 0.000 0.500
As1 As 0.000 0.000 0.000
As2 As 0.500 0.500 0.500
# **Offset from the most stable computed form**: 0.445 eV per atom
# **Energy of formation from the pure elements**: -0.777 eV per atom



# Cr2HgF (meta-GGA SCAN, PBEsol geometry)
data_Cr2HgF
_chemical_formula_sum 'Cr8 Hg4 F4'
_cell_length_a 6.423
_cell_length_b 6.423
_cell_length_c 6.423
_cell_angle_alpha 90.00
_cell_angle_beta 90.00
_cell_angle_gamma 90.00
_space_group_name_H-M_alt 'F m -3 m'
_space_group_IT_number 225
_space_group_name_Hall '-F 4 2 3'
loop_
_atom_site_label
_atom_site_type_symbol
_atom_site_fract_x
_atom_site_fract_y
_atom_site_fract_z
Cr1 Cr 0.250 0.250 0.250
Hg1 Hg 0.000 0.000 0.000
F1 F 0.000 0.000 0.500
# **Uncorrected formation energy**: -0.8 eV/f.u.



# LaSe3I (meta-GGA SCAN, PBEsol geometry)
data_LaSe3I
_chemical_formula_sum 'La1 Se3 I1'
_cell_length_a 5.755
_cell_length_b 5.755
_cell_length_c 5.755
_cell_angle_alpha 90.00
_cell_angle_beta 90.00
_cell_angle_gamma 90.00
_space_group_name_H-M_alt 'P m -3 m'
_space_group_IT_number 221
_space_group_name_Hall '-P 4 2 3'
loop_
_atom_site_label
_atom_site_type_symbol
_atom_site_fract_x
_atom_site_fract_y
_atom_site_fract_z
La1 La 0.000 0.000 0.000
Se1 Se 0.000 0.000 0.500
I1 I 0.500 0.500 0.500
# **Uncorrected formation energy**: -1.5 eV/f.u.



# Ta2Zn2Os (meta-GGA SCAN, PBEsol geometry)
data_Ta2Zn2Os
_chemical_formula_sum 'Ta4 Zn4 Os2'
_cell_length_a 3.753
_cell_length_b 3.753
_cell_length_c 11.435
_cell_angle_alpha 90.00
_cell_angle_beta 90.00
_cell_angle_gamma 90.00
_space_group_name_H-M_alt 'I 4/m m m'
_space_group_IT_number 139
_space_group_name_Hall '-I 4 2'
loop_
_atom_site_label
_atom_site_type_symbol
_atom_site_fract_x
_atom_site_fract_y
_atom_site_fract_z
Ta1 Ta 0.000 0.500 0.250
Zn1 Zn 0.000 0.000 0.093
Os1 Os 0.000 0.000 0.500
# **Energy of formation from the pure elements**: 0.666 eV per atom



| no. | ρ (g/cm3) |
| --- | --- |
| 1 | 5.24 |
| 2 | 17.13 |
| 3 | 3.61 |
| 4 | 8.30 |
| 5 | 6.24 |
| 6 | 5.46 |
| 7 | 10.62 |
| 8 | 13.63 |
| 9 | 4.13 |
| 10 | 8.11 |
| 11 | 4.38 |
| 12 | 14.08 |